# 1
DFT (SCAN) results for a PBEsol-optimized structure of CdRe2P.

## Properties
electronic total energy = -45.472 eV/atom
ρ = 14.3 Mg/m³
total magnetization = 0.00 Bohr magnetons per cell
N(E_F) = 0.791 states/eV per atom
energy of formation from the pure elements = 0.280 eV per atom

abc: 2.8349 2.8349 25.7768
angles: 90.00 90.00 120.00
Space group R-3m (No. 166, hexagonal axes)
Inequivalent atoms, fractional coordinates:
1 Cd 0.0000 0.0000 0.0000 [3 per cell]
2 Re 0.0000 0.0000 0.2369 [6 per cell]
3 P 0.0000 0.0000 0.5000 [3 per cell]

---

# 2
DFT (SCAN) results for a PBEsol-optimized structure of CdRe3P.

## Properties
electronic total energy = -47.157 eV/atom
ρ = 10.9 Mg/m³
total magnetization = 2.42 Bohr magnetons per cell
N(E_F) = 1.112 states/eV per atom
energy of formation from the pure elements = 3.664 eV per atom

abc: 4.7532 4.7532 4.7532
angles: 90.00 90.00 90.00
Space group Pm-3m (No. 221)
Inequivalent atoms, fractional coordinates:
1 Cd 0.0000 0.0000 0.0000 [1 per cell]
2 Re 0.0000 0.0000 0.5000 [3 per cell]
3 P 0.5000 0.5000 0.5000 [1 per cell]

---

# 3
DFT (SCAN) results for a PBEsol-optimized structure of CdRe2P2.

## Properties
electronic total energy = -38.583 eV/atom
ρ = 11.8 Mg/m³
total magnetization = 0.00 Bohr magnetons per cell
N(E_F) = 0.612 states/eV per atom
energy of formation from the pure elements = 0.099 eV per atom

abc: 3.5924 3.5924 11.8897
angles: 90.00 90.00 90.00
Space group I4/mmm (No. 139)
Inequivalent atoms, fractional coordinates:
1 Cd 0.0000 0.0000 0.0000 [2 per cell]
2 Re 0.0000 0.0000 0.3788 [4 per cell]
3 P 0.0000 0.5000 0.2500 [4 per cell]

---

# 4
DFT (SCAN) results for a PBEsol-optimized structure of CdRe2P.

## Properties
electronic total energy = -45.548 eV/atom
ρ = 13.7 Mg/m³
total magnetization = 0.00 Bohr magnetons per cell
N(E_F) = 0.431 states/eV per atom
energy of formation from the pure elements = 0.204 eV per atom

abc: 2.8654 2.8654 26.4246
angles: 90.00 90.00 120.00
Space group R3m (No. 160, hexagonal axes)
Inequivalent atoms, fractional coordinates:
1 Cd 0.0000 0.0000 0.0000 [3 per cell]
2 Re 0.0000 0.0000 0.2418 [3 per cell]
3 Re 0.0000 0.0000 0.4957 [3 per cell]
4 P 0.0000 0.0000 0.7621 [3 per cell]